VASP calculation (GGA-PBE) on a geometry-optimized NaNbSe2 structure.

Cell lengths 3.6312, 3.6312, 14.6057 Å; angles 90.00, 90.00, 120.00 degrees
Space group P6_3/mmc (No. 194)
Inequivalent atoms, fractional coordinates:
Na  0.3333  0.6667  0.2500 [2 per cell]
Nb  0.0000  0.0000  0.0000 [2 per cell]
Se  0.3333  0.6667  0.6115 [4 per cell]

Summary:
- DFT total energy: -0.1999 hartree per atom